Record 1
Below is a relaxed structure of Rb3TlCo2Br8, with properties calculated at the PBE level.

Summary:
Formation energy from raw total energies (eV per formula unit): -13.77

Cell: 8.1025 8.1025 9.7764 Å, 90.00 90.00 120.00°
Positions (direct):
Br (0.8244, 0.1756, 0.7054)
Br (0.1756, 0.8244, 0.2946)
Br (0.3511, 0.1756, 0.7054)
Br (0.6489, 0.8244, 0.2946)
Br (0.3333, 0.6667, 0.9576)
Br (0.6667, 0.3333, 0.0424)
Br (0.1756, 0.3511, 0.2946)
Br (0.8244, 0.6489, 0.7054)
Co (0.6667, 0.3333, 0.8030)
Co (0.3333, 0.6667, 0.1970)
Rb (0.0000, 0.0000, 0.0000)
Rb (0.3333, 0.6667, 0.6175)
Rb (0.6667, 0.3333, 0.3825)
Tl (0.0000, 0.0000, 0.5000)

***

Record 2
Below is a relaxed structure of RbTmCo2Br8, with properties calculated at the PBE level.

Summary:
Formation energy from raw total energies (eV per formula unit): -12.27

Cell: 6.8130 6.8130 10.1698 Å, 85.03 85.03 68.70°
Positions (direct):
Br (0.6941, 0.6941, 0.4124)
Br (0.7652, 0.2648, 0.7990)
Br (0.2348, 0.7352, 0.2010)
Br (0.3059, 0.3059, 0.5876)
Br (0.2648, 0.7652, 0.7990)
Br (0.7542, 0.7542, 0.0065)
Br (0.7352, 0.2348, 0.2010)
Br (0.2458, 0.2458, 0.9935)
Tm (0.0000, 0.0000, 0.0000)
Co (0.6192, 0.6192, 0.2075)
Co (0.3808, 0.3808, 0.7925)
Rb (0.0000, 0.0000, 0.5000)

***

Record 3
Below is a relaxed structure of RbYCoBr6, with properties calculated at the PBE level.

Summary:
Fermi-level density of states (states/eV/f.u.): 1.1
Formation energy from raw total energies (eV per formula unit): -11.77

Cell: 7.0716 7.0716 7.7297 Å, 89.86 90.14 59.88°
Positions (direct):
Br (0.6111, 0.3689, 0.7048)
Br (0.3617, 0.0207, 0.7004)
Br (0.0206, 0.3617, 0.2996)
Br (0.0207, 0.6177, 0.7011)
Br (0.6176, 0.0207, 0.2989)
Br (0.3688, 0.6112, 0.2952)
Co (0.3329, 0.3329, 0.5000)
Rb (0.9999, 0.9999, 0.0000)
Y (0.6664, 0.6664, 0.5000)

***

Record 4
Below is a relaxed structure of RbZnCo2Br8, with properties calculated at the PBE level.

Summary:
Fermi-level density of states (states/eV/f.u.): 12.0
Formation energy from raw total energies (eV per formula unit): -7.57

Cell: 6.6717 6.6717 10.6212 Å, 71.69 71.69 60.00°
Positions (direct):
Co (0.2572, 0.2572, 0.2284)
Co (0.7428, 0.7428, 0.7716)
Rb (0.5000, 0.5000, 0.5000)
Br (0.8212, 0.8212, 0.5363)
Br (0.0545, 0.3742, 0.8413)
Br (0.7300, 0.0545, 0.8413)
Br (0.2700, 0.9455, 0.1587)
Br (0.3742, 0.7300, 0.8413)
Br (0.1788, 0.1788, 0.4637)
Br (0.6258, 0.2700, 0.1587)
Br (0.9455, 0.6258, 0.1587)
Zn (0.0000, 0.0000, 0.0000)

***

Record 5
Below is a relaxed structure of Rb2ZrCoBr6, with properties calculated at the PBE level.

Summary:
Fermi-level density of states (states/eV/f.u.): 20.2
Formation energy from raw total energies (eV per formula unit): -10.93

Cell: 7.5800 7.5800 7.5782 Å, 59.99 59.99 90.00°
Positions (direct):
Br (0.2534, 0.7466, 0.0000)
Br (0.7465, 0.7465, 0.5071)
Br (0.7466, 0.7466, 0.0000)
Br (0.7466, 0.2534, 0.0000)
Br (0.2535, 0.2535, 0.4929)
Br (0.2534, 0.2534, 0.0000)
Rb (0.7500, 0.2500, 0.5000)
Rb (0.2500, 0.7500, 0.5000)
Co (0.5000, 0.5000, 0.0000)
Zr (0.0000, 0.0000, 0.0000)

***

Record 6
Below is a relaxed structure of Co2ReBr, with properties calculated at the PBE level.

Summary:
E above lowest polymorph (meV/atom): 102
Fermi-level density of states (states/eV/f.u.): 4.7
Formation energy from raw total energies (eV per formula unit): 2.35

Cell: 2.8057 2.8057 7.2796 Å, 90.00 90.00 90.00°
Positions (direct):
Co (0.0000, 0.0000, 0.4759)
Co (0.0000, 0.0000, 0.0241)
Re (0.5000, 0.5000, 0.2500)
Br (0.5000, 0.5000, 0.7500)

***

Record 7
Below is a relaxed structure of CoReBr, with properties calculated at the PBE level.

Summary:
E above lowest polymorph (meV/atom): 0
Fermi-level density of states (states/eV/f.u.): 3.2
Formation energy from raw total energies (eV per formula unit): 2.28

Cell: 2.9549 2.9549 6.0788 Å, 90.00 90.00 120.00°
Positions (direct):
Co (0.6667, 0.3333, 0.3459)
Re (0.3333, 0.6667, 0.6451)
Br (0.0000, 0.0000, 0.0091)

***

Record 8
Below is a relaxed structure of Co2ReBr, with properties calculated at the PBE level.

Summary:
E above lowest polymorph (meV/atom): 475
Fermi-level density of states (states/eV/f.u.): 2.7
Formation energy from raw total energies (eV per formula unit): 3.84

Cell: 5.8159 5.8159 5.9865 Å, 60.94 60.94 90.00°
Positions (direct):
Br (0.5000, 0.5000, 0.0000)
Br (0.2500, 0.7500, 0.5000)
Re (0.7500, 0.2500, 0.5000)
Re (0.0000, 0.0000, 0.0000)
Co (0.6428, 0.1250, 0.2500)
Co (0.8750, 0.8928, 0.7500)
Co (0.1072, 0.6250, 0.2500)
Co (0.3750, 0.3572, 0.7500)

***

Record 9
Below is a relaxed structure of Co2ReBr, with properties calculated at the PBE level.

Summary:
E above lowest polymorph (meV/atom): 326
Fermi-level density of states (states/eV/f.u.): 4.7
Formation energy from raw total energies (eV per formula unit): 3.25

Cell: 4.0448 2.8542 5.1839 Å, 105.80 90.00 90.00°
Positions (direct):
Re (0.0000, 0.6859, 0.4213)
Co (0.0000, 0.9916, 0.0053)
Co (0.5000, 0.1434, 0.2907)
Br (0.5000, 0.6791, 0.7828)

***

Record 10
Below is a relaxed structure of Co2ReBr, with properties calculated at the PBE level.

Summary:
E above lowest polymorph (meV/atom): 685
Fermi-level density of states (states/eV/f.u.): 5.0
Formation energy from raw total energies (eV per formula unit): 4.69

Cell: 4.5143 4.5143 4.5143 Å, 128.22 128.22 76.27°
Positions (direct):
Br (0.7500, 0.2500, 0.5000)
Co (0.0000, 0.0000, 0.0000)
Co (0.5000, 0.5000, 0.0000)
Re (0.2500, 0.7500, 0.5000)

***

Record 11
Below is a relaxed structure of Co2Re2Br, with properties calculated at the PBE level.

Summary:
E above lowest polymorph (meV/atom): 11
Fermi-level density of states (states/eV/f.u.): 5.5
Formation energy from raw total energies (eV per formula unit): 3.84

Cell: 3.5604 3.5604 6.9708 Å, 75.20 75.20 90.00°
Positions (direct):
Br (0.0000, 0.0000, 0.0000)
Co (0.3894, 0.3894, 0.2212)
Co (0.6106, 0.6106, 0.7788)
Re (0.7500, 0.2500, 0.5000)
Re (0.2500, 0.7500, 0.5000)

***

Record 12
Below is a relaxed structure of CoReBr, with properties calculated at the PBE level.

Summary:
E above lowest polymorph (meV/atom): 199
Fermi-level density of states (states/eV/f.u.): 3.5
Formation energy from raw total energies (eV per formula unit): 2.88

Cell: 7.1541 6.8582 2.8814 Å, 83.96 72.42 23.61°
Positions (direct):
Br (0.9895, 0.9895, 0.0105)
Co (0.3265, 0.3265, 0.6735)
Re (0.6840, 0.6840, 0.3160)

***

Record 13
Below is a relaxed structure of Co2ReBr, with properties calculated at the PBE level.

Summary:
E above lowest polymorph (meV/atom): 99
Fermi-level density of states (states/eV/f.u.): 5.3
Formation energy from raw total energies (eV per formula unit): 2.34

Cell: 8.2464 8.2464 8.2464 Å, 20.00 20.00 20.00°
Positions (direct):
Co (0.5024, 0.5024, 0.5024)
Co (0.9976, 0.9976, 0.9976)
Re (0.2500, 0.2500, 0.2500)
Br (0.7500, 0.7500, 0.7500)

***

Record 14
Below is a relaxed structure of Co2ReBr, with properties calculated at the PBE level.

Summary:
E above lowest polymorph (meV/atom): 243
Fermi-level density of states (states/eV/f.u.): 5.5
Formation energy from raw total energies (eV per formula unit): 2.91

Cell: 3.0167 3.0167 6.3487 Å, 90.00 90.00 90.00°
Positions (direct):
Co (0.5000, 0.5000, 0.2453)
Co (0.0000, 0.0000, 0.0438)
Re (0.0000, 0.0000, 0.4452)
Br (0.5000, 0.5000, 0.7657)

***

Record 15
Below is a relaxed structure of Co2ReBr, with properties calculated at the PBE level.

Summary:
E above lowest polymorph (meV/atom): 490
Fermi-level density of states (states/eV/f.u.): 4.7
Formation energy from raw total energies (eV per formula unit): 3.90

Cell: 5.2075 5.2075 5.2075 Å, 147.92 130.46 60.25°
Positions (direct):
Co (0.0085, 0.0085, 0.0000)
Co (0.7474, 0.2474, 0.5000)
Re (0.4894, 0.4894, 0.0000)
Br (0.2548, 0.7548, 0.5000)

***

Record 16
Below is a relaxed structure of CoReBr3, with properties calculated at the PBE level.

Summary:
Fermi-level density of states (states/eV/f.u.): 10.8
Formation energy from raw total energies (eV per formula unit): 5.59

Cell: 5.1083 5.1083 5.1083 Å, 90.00 90.00 90.00°
Positions (direct):
Re (0.0000, 0.0000, 0.0000)
Br (0.0000, 0.5000, 0.0000)
Br (0.0000, 0.0000, 0.5000)
Br (0.5000, 0.0000, 0.0000)
Co (0.5000, 0.5000, 0.5000)

***

Record 17
Below is a relaxed structure of Co2ReBr, with properties calculated at the PBE level.

Summary:
E above lowest polymorph (meV/atom): 0
Fermi-level density of states (states/eV/f.u.): 5.0
Formation energy from raw total energies (eV per formula unit): 1.94

Cell: 2.7790 2.8143 7.5614 Å, 90.03 90.00 90.00°
Positions (direct):
Co (0.0000, 0.7504, 0.4654)
Co (0.0000, 0.7496, 0.0346)
Re (0.5000, 0.2500, 0.2500)
Br (0.5000, 0.7500, 0.7500)

***

Record 18
Below is a relaxed structure of Co2ReBr, with properties calculated at the PBE level.

Summary:
E above lowest polymorph (meV/atom): 737
Fermi-level density of states (states/eV/f.u.): 6.5
Formation energy from raw total energies (eV per formula unit): 4.89

Cell: 4.2835 4.2835 4.2835 Å, 60.00 60.00 60.00°
Positions (direct):
Br (0.0000, 0.0000, 0.0000)
Co (0.7500, 0.7500, 0.7500)
Co (0.2500, 0.2500, 0.2500)
Re (0.5000, 0.5000, 0.5000)

***

Record 19
Below is a relaxed structure of Co2ReBr, with properties calculated at the PBE level.

Summary:
E above lowest polymorph (meV/atom): 559
Fermi-level density of states (states/eV/f.u.): 4.5
Formation energy from raw total energies (eV per formula unit): 4.18

Cell: 4.2467 4.2467 4.2467 Å, 120.00 120.00 90.00°
Positions (direct):
Co (0.0000, 0.0000, 0.0000)
Co (0.2500, 0.7500, 0.5000)
Re (0.5000, 0.5000, 0.0000)
Br (0.7500, 0.2500, 0.5000)

***

Record 20
Below is a relaxed structure of Co2ReBr, with properties calculated at the PBE level.

Summary:
E above lowest polymorph (meV/atom): 203
Fermi-level density of states (states/eV/f.u.): 4.9
Formation energy from raw total energies (eV per formula unit): 2.75

Cell: 4.1993 4.1993 6.3103 Å, 81.52 81.52 42.16°
Positions (direct):
Re (0.5207, 0.5207, 0.6069)
Br (0.1240, 0.1240, 0.2657)
Co (0.7946, 0.7946, 0.7291)
Co (0.0607, 0.0607, 0.8983)

***

Record 21
Below is a relaxed structure of Co2ReBr, with properties calculated at the PBE level.

Summary:
E above lowest polymorph (meV/atom): 503
Fermi-level density of states (states/eV/f.u.): 5.2
Formation energy from raw total energies (eV per formula unit): 3.95

Cell: 5.0267 5.0267 5.0267 Å, 146.94 127.07 63.84°
Positions (direct):
Co (0.0106, 0.0106, 0.0000)
Co (0.4894, 0.4894, 0.0000)
Br (0.2500, 0.7500, 0.5000)
Re (0.7500, 0.2500, 0.5000)

***

Record 22
Below is a relaxed structure of Co2ReBr, with properties calculated at the PBE level.

Summary:
E above lowest polymorph (meV/atom): 242
Fermi-level density of states (states/eV/f.u.): 6.3
Formation energy from raw total energies (eV per formula unit): 2.91

Cell: 2.8006 2.8006 8.5198 Å, 90.00 90.00 115.74°
Positions (direct):
Re (0.5000, 0.5000, 0.2500)
Co (0.0000, 0.0000, 0.4795)
Co (0.0000, 0.0000, 0.0205)
Br (0.5000, 0.5000, 0.7500)

***

Record 23
Below is a relaxed structure of CoReBr, with properties calculated at the PBE level.

Summary:
E above lowest polymorph (meV/atom): 424
Fermi-level density of states (states/eV/f.u.): 3.7
Formation energy from raw total energies (eV per formula unit): 3.56

Cell: 4.1548 4.1548 4.1548 Å, 60.00 60.00 60.00°
Positions (direct):
Co (0.5000, 0.5000, 0.5000)
Br (0.0000, 0.0000, 0.0000)
Re (0.2500, 0.2500, 0.2500)

***

Record 24
Below is a relaxed structure of Co2ReBr, with properties calculated at the PBE level.

Summary:
E above lowest polymorph (meV/atom): 526
Fermi-level density of states (states/eV/f.u.): 5.0
Formation energy from raw total energies (eV per formula unit): 4.05

Cell: 2.6921 4.5389 4.5389 Å, 90.00 90.00 90.00°
Positions (direct):
Re (0.5000, 0.5000, 0.0000)
Co (0.0000, 0.5000, 0.5000)
Co (0.0000, 0.0000, 0.0000)
Br (0.5000, 0.0000, 0.5000)

***

Record 25
Below is a relaxed structure of CoReBr, with properties calculated at the PBE level.

Summary:
E above lowest polymorph (meV/atom): 420
Fermi-level density of states (states/eV/f.u.): 3.4
Formation energy from raw total energies (eV per formula unit): 3.54

Cell: 4.3081 4.3081 2.8420 Å, 90.00 90.00 120.00°
Positions (direct):
Co (0.6667, 0.3333, 0.3333)
Re (0.3333, 0.6667, 0.8337)
Br (0.0000, 0.0000, 0.8330)

***

Record 26
Below is a relaxed structure of Co2ReBr, with properties calculated at the PBE level.

Summary:
E above lowest polymorph (meV/atom): 268
Fermi-level density of states (states/eV/f.u.): 5.4
Formation energy from raw total energies (eV per formula unit): 3.02

Cell: 8.2957 8.2957 8.2957 Å, 19.92 19.92 19.92°
Positions (direct):
Co (0.9943, 0.9943, 0.9943)
Co (0.2526, 0.2526, 0.2526)
Re (0.5057, 0.5057, 0.5057)
Br (0.7474, 0.7474, 0.7474)

***

Record 27
Below is a relaxed structure of Co2ReBr8, with properties calculated at the PBE level.

Summary:
Fermi-level density of states (states/eV/f.u.): 4.9
Formation energy from raw total energies (eV per formula unit): -2.36

Cell: 6.2562 8.0823 8.0823 Å, 68.81 89.78 89.78°
Positions (direct):
Br (0.2239, 0.8378, 0.8378)
Br (0.2315, 0.2765, 0.8725)
Br (0.6794, 0.6657, 0.6657)
Br (0.3206, 0.3343, 0.3343)
Br (0.7685, 0.7235, 0.1275)
Br (0.2315, 0.8725, 0.2765)
Br (0.7685, 0.1275, 0.7235)
Br (0.7761, 0.1622, 0.1622)
Re (0.0000, 0.0000, 0.0000)
Co (0.6143, 0.8343, 0.8343)
Co (0.3857, 0.1657, 0.1657)

***

Record 28
Below is a relaxed structure of Co4ReBr, with properties calculated at the PBE level.

Summary:
Fermi-level density of states (states/eV/f.u.): 12.3
Formation energy from raw total energies (eV per formula unit): 5.17

Cell: 4.8096 4.8096 4.8096 Å, 60.00 60.00 60.00°
Positions (direct):
Co (0.3755, 0.3755, 0.8734)
Co (0.3755, 0.3755, 0.3755)
Co (0.3755, 0.8734, 0.3755)
Co (0.8734, 0.3755, 0.3755)
Re (0.7500, 0.7500, 0.7500)
Br (0.0000, 0.0000, 0.0000)